Density functional theory data (PBE-GGA) for a relaxed Pm3TlAg4 crystal.

Results
SG   R-3m, No. 166
Formation energy from the elements   -1.943 eV per formula unit
Total energy   -3.746 eV per atom

a b c (Å): 5.183 5.183 9.086
angles (deg): 73.43 73.43 60.00
Fractional coordinates of all 8 atoms:
Ag (0.620, 0.620, 0.141)
Ag (0.380, 0.380, 0.859)
Ag (0.867, 0.867, 0.399)
Ag (0.133, 0.133, 0.601)
Pm (0.741, 0.741, 0.777)
Pm (0.500, 0.500, 0.500)
Pm (0.259, 0.259, 0.223)
Tl (0.000, 0.000, 0.000)

=====

Density functional theory data (PBE-GGA) for a relaxed Cs3Tl4Ag2 crystal.

Results
SG   P-1, No. 2
Formation energy from the elements   -0.146 eV per formula unit
Total energy   -1.986 eV per atom

a b c (Å): 5.259 7.599 10.533
angles (deg): 71.22 75.61 69.71
Fractional coordinates of all 9 atoms:
Cs (0.390, 0.849, 0.370)
Cs (0.000, 0.000, 0.000)
Cs (0.610, 0.151, 0.630)
Tl (0.900, 0.554, 0.648)
Tl (0.713, 0.643, 0.932)
Tl (0.100, 0.446, 0.352)
Tl (0.287, 0.357, 0.068)
Ag (0.312, 0.602, 0.774)
Ag (0.688, 0.398, 0.226)

=====

Density functional theory data (PBE-GGA) for a relaxed Ac3SiBi crystal.

Results
Relative energy among the computed polymorphs   0.00 kcal/mol of atoms
SG   Pm-3m, No. 221
E_form (uncorrected)   -1.55 eV per formula unit
Total energy   -4.637 eV per atom

a b c (Å): 5.925 5.925 5.925
angles (deg): 90.00 90.00 90.00
Fractional coordinates of all 5 atoms:
Ac (0.000, 0.000, 0.500)
Ac (0.000, 0.500, 0.000)
Ac (0.500, 0.000, 0.000)
Si (0.000, 0.000, 0.000)
Bi (0.500, 0.500, 0.500)

=====

Density functional theory data (PBE-GGA) for a relaxed SmY2I crystal.

Results
Relative energy among the computed polymorphs   0.53 kcal/mol of atoms
SG   R3m, No. 160
E_form (uncorrected)   -1.36 eV per formula unit
Total energy   -5.140 eV per atom

a b c (Å): 3.790 3.790 10.721
angles (deg): 79.82 79.82 60.00
Fractional coordinates of all 4 atoms:
Sm (0.500, 0.500, 0.501)
I (0.667, 0.667, 0.000)
Y (0.078, 0.078, 0.766)
Y (0.256, 0.256, 0.233)

=====

Density functional theory data (PBE-GGA) for a relaxed PrInTe2 crystal.

Results
SG   P4/mmm, No. 123
E_form (uncorrected)   -3.45 eV per formula unit
Total energy   -4.313 eV per atom

a b c (Å): 3.998 3.998 7.854
angles (deg): 90.00 90.00 90.00
Fractional coordinates of all 4 atoms:
In (0.500, 0.500, 0.500)
Te (0.000, 0.000, 0.230)
Te (0.000, 0.000, 0.770)
Pr (0.500, 0.500, 0.000)

=====

Density functional theory data (PBE-GGA) for a relaxed Ag2As2Pb crystal.

Results
Relative energy among the computed polymorphs   0.00 kcal/mol of atoms
SG   I4/mmm, No. 139
Formation energy from the elements   0.457 eV per formula unit
Total energy   -3.651 eV per atom

a b c (Å): 4.544 4.544 6.373
angles (deg): 69.12 69.12 90.00
Fractional coordinates of all 5 atoms:
As (0.387, 0.387, 0.227)
As (0.613, 0.613, 0.773)
Ag (0.250, 0.750, 0.500)
Ag (0.750, 0.250, 0.500)
Pb (0.000, 0.000, 0.000)

=====

Which of these has the highest total energy? Cs3Tl4Ag2

=====

Number 5 is which compound? PrInTe2